[1]
A geometry-optimized K5Rb2Hg2Au structure. Source: Alexandria, functional PBE.

Values from the calculation:
formation energy: -136 meV per atom

Cell lengths 14.819, 14.819, 4.482 Å; angles 90.00, 90.00, 90.00 degrees
Element x y z (fractional)
K1 0.000 0.500 0.000
K2 0.055 0.181 0.000
K3 0.181 0.945 0.000
K4 0.319 0.445 0.000
K5 0.445 0.681 0.000
K6 0.500 0.000 0.000
K7 0.555 0.319 0.000
K8 0.681 0.555 0.000
K9 0.819 0.055 0.000
K10 0.945 0.819 0.000
Rb1 0.178 0.678 0.500
Rb2 0.322 0.178 0.500
Rb3 0.678 0.822 0.500
Rb4 0.822 0.322 0.500
Hg1 0.136 0.364 0.500
Hg2 0.364 0.864 0.500
Hg3 0.636 0.136 0.500
Hg4 0.864 0.636 0.500
Au1 0.000 0.000 0.500
Au2 0.500 0.500 0.500


[2]
A geometry-optimized Ta2CrRh structure. Source: Alexandria, functional PBE.

Values from the calculation:
formation energy: 571 meV per atom

Cell lengths 3.912, 3.912, 18.398 Å; angles 90.00, 90.00, 90.00 degrees
Element x y z (fractional)
Ta1 0.247 0.250 0.125
Ta2 0.250 0.747 0.375
Ta3 0.250 0.753 0.875
Ta4 0.253 0.250 0.625
Ta5 0.747 0.750 0.625
Ta6 0.750 0.247 0.875
Ta7 0.750 0.253 0.375
Ta8 0.753 0.750 0.125
Cr1 0.000 0.000 0.000
Cr2 0.000 0.500 0.250
Cr3 0.500 0.000 0.750
Cr4 0.500 0.500 0.500
Rh1 0.000 0.000 0.500
Rh2 0.000 0.500 0.750
Rh3 0.500 0.000 0.250
Rh4 0.500 0.500 0.000


[3]
A geometry-optimized ErCl2F structure. Source: Alexandria, functional PBE.

Values from the calculation:
E_form (uncorrected): -2838 meV per atom
relative energy among the computed polymorphs: 0.0706 eV per atom

Cell lengths 12.430, 5.229, 3.696 Å; angles 90.00, 105.77, 90.00 degrees
Element x y z (fractional)
Er1 0.000 0.000 0.000
Er2 0.500 0.500 0.000
Cl1 0.159 0.000 0.645
Cl2 0.480 0.000 0.982
Cl3 0.659 0.500 0.645
Cl4 0.980 0.500 0.982
F1 0.406 0.500 0.414
F2 0.906 0.000 0.414


[4]
A geometry-optimized TiV2Ag2 structure. Source: Alexandria, functional PBE.

Values from the calculation:
formation energy: 579 meV per atom
relative energy among the computed polymorphs: 0.0738 eV per atom

Cell lengths 7.900, 7.900, 2.653 Å; angles 90.00, 90.00, 90.00 degrees
Element x y z (fractional)
Ti1 0.000 0.000 0.000
Ti2 0.500 0.500 0.000
V1 0.175 0.325 0.500
V2 0.325 0.825 0.500
V3 0.675 0.175 0.500
V4 0.825 0.675 0.500
Ag1 0.124 0.624 0.000
Ag2 0.376 0.124 0.000
Ag3 0.624 0.876 0.000
Ag4 0.876 0.376 0.000